The following is a PBE-GGA calculation of CuIr2Ru after structural relaxation, from the Alexandria database.

Cell and atoms, written as extended XYZ:
```
4
Lattice="2.7311 0.0000 0.0000 0.0000 2.7311 0.0000 0.0000 0.0000 7.4412" Properties=species:S:1:pos:R:3 pbc="T T T"
Cu 0.0000 0.0000 0.0000
Ir 0.0000 0.0000 3.7548
Ir 1.3655 1.3655 1.8272
Ru 1.3655 1.3655 5.5935
```

Values from the calculation:
SG = P4mm, No. 99
E_form = 0.12 eV/atom
calculated density = 16.427 Mg/m³
E_tot = -30.60 eV per formula unit
energy relative to the lowest polymorph listed for this composition = 0.0814 eV/atom
volume = 55.5 Å³ per cell
M_tot = 0.0 Bohr magnetons per cell

***

The following is a PBE-GGA calculation of CuIr2Ru after structural relaxation, from the Alexandria database.

Cell and atoms, written as extended XYZ:
```
4
Lattice="2.6942 -3.8301 0.0000 2.6942 3.8301 0.0000 0.0000 0.0000 2.7047" Properties=species:S:1:pos:R:3 pbc="T T T"
Cu 0.0000 0.0000 0.0000
Ir 1.3471 1.9151 1.3523
Ir 1.3471 -1.9151 1.3523
Ru 2.6942 0.0000 0.0000
```

Values from the calculation:
SG = Cmmm, No. 65
E_form = 0.18 eV/atom
calculated density = 16.333 Mg/m³
E_tot = -30.39 eV per formula unit
energy relative to the lowest polymorph listed for this composition = 0.1342 eV/atom
volume = 55.8 Å³ per cell
M_tot = 0.9 Bohr magnetons per cell

***

The following is a PBE-GGA calculation of CuIr2Ru after structural relaxation, from the Alexandria database.

Cell and atoms, written as extended XYZ:
```
4
Lattice="2.7301 0.0000 0.0000 0.0000 2.7301 0.0000 0.0000 0.0000 7.4293" Properties=species:S:1:pos:R:3 pbc="T T T"
Cu 0.0000 0.0000 0.0000
Ir 1.3651 1.3651 1.8579
Ir 1.3651 1.3651 5.5714
Ru 0.0000 0.0000 3.7146
```

Values from the calculation:
SG = P4/mmm, No. 123
E_form = 0.04 eV/atom
calculated density = 16.464 Mg/m³
E_tot = -30.93 eV per formula unit
energy relative to the lowest polymorph listed for this composition = 0.0000 eV/atom
volume = 55.4 Å³ per cell
M_tot = 0.0 Bohr magnetons per cell

***

The following is a PBE-GGA calculation of CuIr2Ru after structural relaxation, from the Alexandria database.

Cell and atoms, written as extended XYZ:
```
4
Lattice="4.4526 -1.3569 0.0000 4.4526 1.3569 0.0000 -0.7844 0.0000 4.5988" Properties=species:S:1:pos:R:3 pbc="T T T"
Cu 0.0000 0.0000 0.0000
Ir 1.6155 0.0000 3.5137
Ir 4.0853 0.0000 2.2711
Ru 6.5224 0.0000 1.1835
```

Values from the calculation:
SG = Cm, No. 8
E_form = 0.11 eV/atom
calculated density = 16.407 Mg/m³
E_tot = -30.67 eV per formula unit
energy relative to the lowest polymorph listed for this composition = 0.0650 eV/atom
volume = 55.6 Å³ per cell
M_tot = 0.0 Bohr magnetons per cell

***

The following is a PBE-GGA calculation of CuIrRu after structural relaxation, from the Alexandria database.

Cell and atoms, written as extended XYZ:
```
6
Lattice="2.7175 0.0000 0.0000 0.0000 2.7175 0.0000 0.0000 0.0000 11.0372" Properties=species:S:1:pos:R:3 pbc="T T T"
Cu 0.6794 0.6794 0.8305
Cu 2.0381 2.0381 10.2066
Ir 0.6794 0.6794 8.3477
Ir 2.0381 2.0381 2.6895
Ru 0.6794 0.6794 4.5251
Ru 2.0381 2.0381 6.5120
```

Values from the calculation:
SG = P4/nmm, No. 129
E_form = 0.04 eV/atom
calculated density = 14.540 Mg/m³
E_tot = -22.10 eV per formula unit
energy relative to the lowest polymorph listed for this composition = 0.0000 eV/atom
volume = 81.5 Å³ per cell
M_tot = 0.0 Bohr magnetons per cell

***

The following is a PBE-GGA calculation of CuIrRu after structural relaxation, from the Alexandria database.

Cell and atoms, written as extended XYZ:
```
3
Lattice="0.0000 2.8995 2.8995 2.8995 0.0000 2.8995 2.8995 2.8995 0.0000" Properties=species:S:1:pos:R:3 pbc="T T T"
Cu 0.0000 0.0000 0.0000
Ir 1.4498 1.4498 1.4498
Ru 2.8995 2.8995 2.8995
```

Values from the calculation:
SG = F-43m, No. 216
E_form = 0.53 eV/atom
calculated density = 12.154 Mg/m³
E_tot = -20.65 eV per formula unit
energy relative to the lowest polymorph listed for this composition = 0.4861 eV/atom
volume = 48.8 Å³ per cell
M_tot = 0.0 Bohr magnetons per cell

***

The following is a PBE-GGA calculation of CuIrRu after structural relaxation, from the Alexandria database.

Cell and atoms, written as extended XYZ:
```
6
Lattice="2.3183 -3.9669 0.0000 2.3183 3.9669 0.0000 -1.3985 0.0000 4.4228" Properties=species:S:1:pos:R:3 pbc="T T T"
Cu 0.0000 0.0000 0.0000
Cu 1.6190 0.0000 2.2114
Ir 1.6190 2.6403 2.2114
Ir 1.6190 -2.6403 2.2114
Ru 2.3183 1.3265 0.0000
Ru 2.3183 -1.3265 0.0000
```

Values from the calculation:
SG = C2/m, No. 12
E_form = 0.12 eV/atom
calculated density = 14.568 Mg/m³
E_tot = -21.88 eV per formula unit
energy relative to the lowest polymorph listed for this composition = 0.0750 eV/atom
volume = 81.3 Å³ per cell
M_tot = 0.0 Bohr magnetons per cell

***

The following is a PBE-GGA calculation of CuIr2Ru after structural relaxation, from the Alexandria database.

Cell and atoms, written as extended XYZ:
```
4
Lattice="4.5588 0.0000 0.0000 0.0000 4.5588 0.0000 0.0000 0.0000 2.7261" Properties=species:S:1:pos:R:3 pbc="T T T"
Cu 0.0000 0.0000 0.0000
Ir 0.0000 2.2794 1.3631
Ir 2.2794 0.0000 1.3631
Ru 2.2794 2.2794 0.0000
```

Values from the calculation:
SG = P4/mmm, No. 123
E_form = 0.36 eV/atom
calculated density = 16.092 Mg/m³
E_tot = -29.63 eV per formula unit
energy relative to the lowest polymorph listed for this composition = 0.3241 eV/atom
volume = 56.7 Å³ per cell
M_tot = 0.0 Bohr magnetons per cell

***

The following is a PBE-GGA calculation of CuIrRu after structural relaxation, from the Alexandria database.

Cell and atoms, written as extended XYZ:
```
3
Lattice="0.0000 2.2984 6.7616 1.3638 0.0000 6.7616 1.3638 2.2984 0.0000" Properties=species:S:1:pos:R:3 pbc="T T T"
Cu 0.0000 0.0000 0.0000
Ir 1.3638 2.2984 4.5111
Ru 1.3638 2.2984 9.0011
```

Values from the calculation:
SG = Fmm2, No. 42
E_form = 0.35 eV/atom
calculated density = 13.979 Mg/m³
E_tot = -21.18 eV per formula unit
energy relative to the lowest polymorph listed for this composition = 0.3081 eV/atom
volume = 42.4 Å³ per cell
M_tot = 1.1 Bohr magnetons per cell

***

The following is a PBE-GGA calculation of CuIr2Ru after structural relaxation, from the Alexandria database.

Cell and atoms, written as extended XYZ:
```
4
Lattice="-1.4036 2.2416 4.4301 1.4036 -2.2416 4.4301 1.4036 2.2416 -4.4301" Properties=species:S:1:pos:R:3 pbc="T T T"
Cu 0.0000 0.0000 0.0000
Ir 1.4036 0.0000 2.0822
Ir 0.0000 2.2416 2.3480
Ru 0.0000 0.0000 4.4301
```

Values from the calculation:
SG = Immm, No. 71
E_form = 0.27 eV/atom
calculated density = 16.352 Mg/m³
E_tot = -30.00 eV per formula unit
energy relative to the lowest polymorph listed for this composition = 0.2331 eV/atom
volume = 55.8 Å³ per cell
M_tot = 0.0 Bohr magnetons per cell

***

The following is a PBE-GGA calculation of CuIr2Ru after structural relaxation, from the Alexandria database.

Cell and atoms, written as extended XYZ:
```
4
Lattice="1.3609 -2.3139 0.0000 1.3609 2.3139 0.0000 0.0000 0.0000 9.0815" Properties=species:S:1:pos:R:3 pbc="T T T"
Cu 0.0000 0.0000 0.0000
Ir 1.3609 0.0000 2.2338
Ir 1.3609 0.0000 6.8478
Ru 0.0000 0.0000 4.5408
```

Values from the calculation:
SG = Cmmm, No. 65
E_form = 0.30 eV/atom
calculated density = 15.940 Mg/m³
E_tot = -29.88 eV per formula unit
energy relative to the lowest polymorph listed for this composition = 0.2617 eV/atom
volume = 57.2 Å³ per cell
M_tot = 1.0 Bohr magnetons per cell

***

The following is a PBE-GGA calculation of CuIrRu after structural relaxation, from the Alexandria database.

Cell and atoms, written as extended XYZ:
```
6
Lattice="4.2013 -1.8713 0.0000 4.2013 1.8713 0.0000 -1.7999 0.0000 5.1741" Properties=species:S:1:pos:R:3 pbc="T T T"
Cu 0.0000 0.0000 0.0000
Cu -0.9000 0.0000 2.5871
Ir 1.5955 0.0000 3.4571
Ir 5.0071 0.0000 1.7170
Ru 2.4819 0.0000 0.8472
Ru 4.1208 0.0000 4.3269
```

Values from the calculation:
SG = C2/m, No. 12
E_form = 0.10 eV/atom
calculated density = 14.566 Mg/m³
E_tot = -21.92 eV per formula unit
energy relative to the lowest polymorph listed for this composition = 0.0610 eV/atom
volume = 81.4 Å³ per cell
M_tot = 0.0 Bohr magnetons per cell

***

The following is a PBE-GGA calculation of Cu2IrRu after structural relaxation, from the Alexandria database.

Cell and atoms, written as extended XYZ:
```
4
Lattice="1.3480 -2.2669 0.0000 1.3480 2.2669 0.0000 0.0000 0.0000 8.9143" Properties=species:S:1:pos:R:3 pbc="T T T"
Cu 0.0000 0.0000 2.2323
Cu 0.0000 0.0000 6.6820
Ir 1.3480 0.0000 0.0000
Ru 1.3480 0.0000 4.4572
```

Values from the calculation:
SG = Cmmm, No. 65
E_form = 0.29 eV/atom
calculated density = 12.813 Mg/m³
E_tot = -25.16 eV per formula unit
energy relative to the lowest polymorph listed for this composition = 0.2193 eV/atom
volume = 54.5 Å³ per cell
M_tot = 0.4 Bohr magnetons per cell

***

The following is a PBE-GGA calculation of CuIrRu after structural relaxation, from the Alexandria database.

Cell and atoms, written as extended XYZ:
```
6
Lattice="4.0137 -2.3167 0.0000 4.0137 2.3167 0.0000 -2.7049 0.0000 4.3739" Properties=species:S:1:pos:R:3 pbc="T T T"
Cu 0.0000 0.0000 0.0000
Cu 2.6612 -1.5454 2.1870
Ir -0.0318 -0.0036 4.3725
Ir 5.3543 -0.0036 0.0014
Ru 1.3144 0.7749 2.1845
Ru 4.0081 0.7749 2.1894
```

Values from the calculation:
SG = C2, No. 5
E_form = 0.11 eV/atom
calculated density = 14.569 Mg/m³
E_tot = -21.89 eV per formula unit
energy relative to the lowest polymorph listed for this composition = 0.0699 eV/atom
volume = 81.3 Å³ per cell
M_tot = 0.0 Bohr magnetons per cell

***

The following is a PBE-GGA calculation of CuIr2Ru after structural relaxation, from the Alexandria database.

Cell and atoms, written as extended XYZ:
```
4
Lattice="4.4661 -1.3539 0.0000 4.4661 1.3539 0.0000 -0.7895 0.0000 4.5946" Properties=species:S:1:pos:R:3 pbc="T T T"
Cu 0.0000 0.0000 0.0000
Ir 1.6246 0.0000 3.4544
Ir 6.5181 0.0000 1.1402
Ru 4.0714 0.0000 2.2973
```

Values from the calculation:
SG = C2/m, No. 12
E_form = 0.10 eV/atom
calculated density = 16.408 Mg/m³
E_tot = -30.71 eV per formula unit
energy relative to the lowest polymorph listed for this composition = 0.0548 eV/atom
volume = 55.6 Å³ per cell
M_tot = 0.0 Bohr magnetons per cell